Here is a geometry-optimized SrTaTe2 structure from Alexandria via LeMat-Bulk. Energies are from PBE.

## Properties
excess energy over the best structure of this formula in the dataset	0.0513	eV per atom
volume	30.4	A^3/atom
magnetic moment	0.00	μB/atom
VASP energy	-21.48	eV/cell
uncorrected formation energy	-0.4162	eV/atom

extended XYZ file:
```
4
Lattice="-0.512 -4.776 -0.159 2.377 -3.590 2.135 -4.037 -1.829 6.031" Properties=species:S:1:pos:R:3 pbc="T T T"
Sr -0.936 -5.435 3.989
Ta 0.244 -2.259 0.860
Te -1.713 -7.844 6.214
Te 1.012 -8.120 2.924
```